# 1
DFT (PBE) results for an optimized crystal structure of H3Pd7.

a = 7.5536 Å, b = 7.5536 Å, c = 4.8004 Å
α = 90.00°, β = 90.00°, γ = 120.00°
Last column: nearest neighbours and their distance in Å.
Space group P6_3mc (No. 186)
Unique sites:
H1 0.1564 0.3128 0.0000 [6 per cell]  5 Pd 1.84-2.05
Pd1 0.0925 0.5463 0.9870 [6 per cell]  2 H 2.05
Pd2 0.1265 0.2530 0.6258 [6 per cell]  3 H 1.84-1.98
Pd3 0.3333 0.6667 0.4822 [2 per cell]  12 Pd 2.79-2.89

M_tot: 0.0 μB per formula unit
VASP energy: -4.637 eV per atom
theoretical density: 10.47 g cm⁻³

=====

# 2
DFT (PBE) results for an optimized crystal structure of H4Pd3.

a = 9.7334 Å, b = 2.9512 Å, c = 4.6303 Å
α = 90.00°, β = 115.13°, γ = 90.00°
Last column: nearest neighbours and their distance in Å.
Space group C2/m (No. 12)
Unique sites:
H1 0.1098 0.0000 0.4742 [4 per cell]  3 Pd 1.74-1.86
H2 0.1477 0.5000 0.9190 [4 per cell]  4 Pd 1.83-1.99
Pd1 0.0000 0.5000 0.5000 [2 per cell]  6 H 1.86
Pd2 0.1690 0.0000 0.1690 [4 per cell]  3 H 1.74-1.83

M_tot: 0.0 μB per formula unit
VASP energy: -4.171 eV per atom
theoretical density: 8.92 g cm⁻³

=====

# 3
DFT (PBE) results for an optimized crystal structure of HPd3.

a = 2.7257 Å, b = 2.7361 Å, c = 6.8539 Å
α = 90.00°, β = 90.00°, γ = 90.00°
Last column: nearest neighbours and their distance in Å.
Space group Pmm2 (No. 25)
Unique sites:
H1 0.0000 0.0000 0.0000 [1 per cell]  2 Pd 1.82
Pd1 0.0000 0.5000 0.1755 [1 per cell]  2 H 1.82
Pd2 0.5000 0.0000 0.4780 [1 per cell]  10 Pd 2.72-2.83
Pd3 0.5000 0.5000 0.8207 [1 per cell]  4 H 2.29

M_tot: 0.0 μB per formula unit
VASP energy: -4.629 eV per atom
theoretical density: 10.40 g cm⁻³

=====

# 4
DFT (PBE) results for an optimized crystal structure of HPd2.

a = 2.8199 Å, b = 2.8235 Å, c = 8.3752 Å
α = 90.00°, β = 90.18°, γ = 90.00°
Last column: nearest neighbours and their distance in Å.
Space group P2_1/m (No. 11)
Unique sites:
H1 0.2384 0.2500 0.3372 [2 per cell]  5 Pd 1.83-2.04
Pd1 0.2489 0.2500 0.6282 [2 per cell]  4 H 1.99-2.04
Pd2 0.2517 0.2500 0.1184 [2 per cell]  1 H 1.83

M_tot: 0.0 μB per formula unit
VASP energy: -4.640 eV per atom
theoretical density: 10.65 g cm⁻³

=====

The lowest theoretical density belongs to which entry? H4Pd3